Record 1
Computed, not measured: a PBEsol-optimized structure of La2AlTl at the SCAN level of DFT.

N(E_F) ... 0.442 states/eV/atom
Energy of formation from the pure elements ... -530 meV per atom
DFT total energy ... -42.1101 eV/atom

Cell lengths 6.1867, 6.1867, 6.1867 Å; angles 140.66, 132.40, 63.40 degrees
With the nearest neighbours (Å) after each atom.
Atoms (fractional coordinates):
La (0.0000, 0.0000, 0.0000)  4 Al 3.29, 4 La 3.41-3.60, 4 Tl 3.47-3.54
La (0.7206, 0.2206, 0.5000)  4 Tl 3.29, 4 La 3.41-3.60, 4 Al 3.49-3.51
Al (0.4517, 0.4517, 0.0000)  2 Tl 2.82
Tl (0.2715, 0.7715, 0.5000)  2 Al 2.82

=====

Record 2
Computed, not measured: a PBEsol-optimized structure of Sr2AgHg2 at the SCAN level of DFT.

N(E_F) ... 0.698 states/eV/atom
Energy of formation from the pure elements ... -463 meV per atom
DFT total energy ... -42.9129 eV/atom

Cell lengths 7.9690, 7.9690, 4.5289 Å; angles 90.00, 90.00, 90.00 degrees
With the nearest neighbours (Å) after each atom.
Atoms (fractional coordinates):
Sr (0.1731, 0.3269, 0.0000)  6 Hg 3.16-3.34
Sr (0.3269, 0.8269, 0.0000)  6 Hg 3.16-3.34
Sr (0.6731, 0.1731, 0.0000)  6 Hg 3.16-3.34
Sr (0.8269, 0.6731, 0.0000)  6 Hg 3.16-3.34
Ag (0.0000, 0.0000, 0.5000)  4 Hg 3.12
Ag (0.5000, 0.5000, 0.5000)  4 Hg 3.12
Hg (0.1318, 0.6318, 0.5000)  1 Hg 2.97, 2 Ag 3.12, 2 Sr 3.16
Hg (0.3682, 0.1318, 0.5000)  1 Hg 2.97, 2 Ag 3.12, 2 Sr 3.16
Hg (0.6318, 0.8682, 0.5000)  1 Hg 2.97, 2 Ag 3.12, 2 Sr 3.16
Hg (0.8682, 0.3682, 0.5000)  1 Hg 2.97, 2 Ag 3.12, 2 Sr 3.16

=====

Record 3
Computed, not measured: a PBEsol-optimized structure of La5Sc at the SCAN level of DFT.

N(E_F) ... 1.662 states/eV/atom
Energy of formation from the pure elements ... 59 meV per atom
DFT total energy ... -38.2347 eV/atom
Energy relative to the lowest polymorph listed for this composition ... 33 meV per atom

Cell lengths 6.7963, 6.7963, 8.5082 Å; angles 104.30, 104.30, 30.77 degrees
With the nearest neighbours (Å) after each atom.
Atoms (fractional coordinates):
La (0.0000, 0.0000, 0.0000)  3 Sc 3.46-3.65, 9 La 3.48-3.64
La (0.0481, 0.0481, 0.6164)  10 La 3.46-3.66, 2 Sc 3.61
La (0.3201, 0.3201, 0.6856)  2 Sc 3.45, 10 La 3.46-3.85
La (0.3853, 0.3853, 0.2690)  2 Sc 3.52, 10 La 3.54-3.85
La (0.6687, 0.6687, 0.3406)  1 Sc 3.51, 11 La 3.54-3.64
Sc (0.7153, 0.7153, 0.9523)  10 La 3.45-3.65, 2 Sc 3.61

=====

Record 4
Computed, not measured: a PBEsol-optimized structure of HI3F at the SCAN level of DFT.

N(E_F) ... 0.744 states/eV/atom
DFT total energy ... -22.8296 eV/atom

Cell lengths 5.1479, 5.1479, 5.1479 Å; angles 90.00, 90.00, 90.00 degrees
With the nearest neighbours (Å) after each atom.
Atoms (fractional coordinates):
H (0.0000, 0.0000, 0.0000)  12 I 3.64
I (0.0000, 0.5000, 0.5000)  2 F 2.57
I (0.5000, 0.0000, 0.5000)  2 F 2.57
I (0.5000, 0.5000, 0.0000)  2 F 2.57
F (0.5000, 0.5000, 0.5000)  6 I 2.57

=====

Record 5
Computed, not measured: a PBEsol-optimized structure of Ti2Ni2Pd at the SCAN level of DFT.

N(E_F) ... 0.492 states/eV/atom
Energy of formation from the pure elements ... -558 meV per atom
DFT total energy ... -19.9939 eV/atom

Cell lengths 6.7801, 6.7801, 2.8831 Å; angles 90.00, 90.00, 90.00 degrees
With the nearest neighbours (Å) after each atom.
Atoms (fractional coordinates):
Ti (0.1716, 0.3284, 0.0000)  6 Ni 2.41-2.51
Ti (0.3284, 0.8284, 0.0000)  6 Ni 2.41-2.51
Ti (0.6716, 0.1716, 0.0000)  6 Ni 2.41-2.51
Ti (0.8284, 0.6716, 0.0000)  6 Ni 2.41-2.51
Ni (0.1274, 0.6274, 0.5000)  6 Ti 2.41-2.51, 1 Ni 2.44, 2 Pd 2.67
Ni (0.3726, 0.1274, 0.5000)  6 Ti 2.41-2.51, 1 Ni 2.44, 2 Pd 2.67
Ni (0.6274, 0.8726, 0.5000)  6 Ti 2.41-2.51, 1 Ni 2.44, 2 Pd 2.67
Ni (0.8726, 0.3726, 0.5000)  6 Ti 2.41-2.51, 1 Ni 2.44, 2 Pd 2.67
Pd (0.0000, 0.0000, 0.5000)  4 Ni 2.67, 2 Pd 2.88, 8 Ti 2.90
Pd (0.5000, 0.5000, 0.5000)  4 Ni 2.67, 2 Pd 2.88, 8 Ti 2.90

=====

Record 6
Computed, not measured: a PBEsol-optimized structure of CaAl2O4 at the SCAN level of DFT.

N(E_F) ... 0.000 states/eV/atom
DFT total energy ... -10.5163 eV/atom
Energy relative to the elements, uncorrected ... -3.3603 eV per atom
Energy relative to the lowest polymorph listed for this composition ... 16 meV per atom

Cell lengths 7.9033, 8.6033, 10.2977 Å; angles 90.00, 94.97, 90.00 degrees
With the nearest neighbours (Å) after each atom.
Atoms (fractional coordinates):
Ca (0.0006, 0.2140, 0.3716)  4 O 2.32-2.39
Ca (0.0006, 0.2860, 0.8716)  4 O 2.32-2.39
Ca (0.4644, 0.7405, 0.1463)  5 O 2.28-2.47
Ca (0.4644, 0.7595, 0.6463)  5 O 2.28-2.47
Ca (0.5356, 0.2405, 0.3537)  5 O 2.28-2.47
Ca (0.5356, 0.2595, 0.8537)  5 O 2.28-2.47
Ca (0.9994, 0.7140, 0.1284)  4 O 2.32-2.39
Ca (0.9994, 0.7860, 0.6284)  4 O 2.32-2.39
Al (0.1777, 0.0549, 0.1386)  4 O 1.76-1.79
Al (0.1777, 0.4451, 0.6386)  4 O 1.76-1.79
Al (0.2280, 0.5591, 0.3688)  4 O 1.76-1.79
Al (0.2280, 0.9409, 0.8688)  4 O 1.76-1.79
Al (0.2919, 0.1077, 0.6167)  4 O 1.75-1.78
Al (0.2919, 0.3923, 0.1167)  4 O 1.75-1.78
Al (0.3026, 0.5959, 0.8908)  4 O 1.77
Al (0.3026, 0.9041, 0.3908)  4 O 1.77
Al (0.6974, 0.0959, 0.6092)  4 O 1.77
Al (0.6974, 0.4041, 0.1092)  4 O 1.77
Al (0.7081, 0.6077, 0.8833)  4 O 1.75-1.78
Al (0.7081, 0.8923, 0.3833)  4 O 1.75-1.78
Al (0.7720, 0.0591, 0.1312)  4 O 1.76-1.79
Al (0.7720, 0.4409, 0.6312)  4 O 1.76-1.79
Al (0.8223, 0.5549, 0.3614)  4 O 1.76-1.79
Al (0.8223, 0.9451, 0.8614)  4 O 1.76-1.79
O (0.0232, 0.0183, 0.8299)  2 Al 1.76
O (0.0232, 0.4817, 0.3299)  2 Al 1.76
O (0.1490, 0.2421, 0.0722)  2 Al 1.75-1.76
O (0.1490, 0.2579, 0.5722)  2 Al 1.75-1.76
O (0.2116, 0.5664, 0.0403)  2 Al 1.77-1.78
O (0.2116, 0.9336, 0.5403)  2 Al 1.77-1.78
O (0.2316, 0.7449, 0.2914)  2 Al 1.77-1.79
O (0.2316, 0.7551, 0.7914)  2 Al 1.77-1.79
O (0.2734, 0.5790, 0.5384)  2 Al 1.76
O (0.2734, 0.9210, 0.0384)  2 Al 1.76
O (0.2812, 0.0782, 0.2985)  2 Al 1.77-1.79
O (0.2812, 0.4218, 0.7985)  2 Al 1.77-1.79
O (0.3546, 0.0652, 0.7821)  2 Al 1.76-1.77
O (0.3546, 0.4348, 0.2821)  2 Al 1.76-1.77
O (0.4881, 0.1556, 0.5583)  2 Al 1.76-1.77
O (0.4881, 0.3444, 0.0583)  2 Al 1.76-1.77
O (0.5119, 0.6556, 0.9417)  2 Al 1.76-1.77
O (0.5119, 0.8444, 0.4417)  2 Al 1.76-1.77
O (0.6454, 0.5652, 0.7179)  2 Al 1.76-1.77
O (0.6454, 0.9348, 0.2179)  2 Al 1.76-1.77
O (0.7188, 0.5782, 0.2015)  2 Al 1.77-1.79
O (0.7188, 0.9218, 0.7015)  2 Al 1.77-1.79
O (0.7266, 0.0790, 0.9616)  2 Al 1.76
O (0.7266, 0.4210, 0.4616)  2 Al 1.76
O (0.7684, 0.2449, 0.2086)  2 Al 1.77-1.79
O (0.7684, 0.2551, 0.7086)  2 Al 1.77-1.79
O (0.7884, 0.0664, 0.4597)  2 Al 1.77-1.78
O (0.7884, 0.4336, 0.9597)  2 Al 1.77-1.78
O (0.8510, 0.7421, 0.4278)  2 Al 1.75-1.76
O (0.8510, 0.7579, 0.9278)  2 Al 1.75-1.76
O (0.9768, 0.5183, 0.6701)  2 Al 1.76
O (0.9768, 0.9817, 0.1701)  2 Al 1.76